(1)
Entry from the Alexandria database: crystalline Hf2BrF at its relaxed geometry (PBE).

The calculation puts the polymorph energy (0 for the lowest one) at 37 meV per atom. Its formation energy from raw total energies is -302 meV/atom.

The space group is Fm-3m (No. 225) and the conventional cell measures 6.541, 6.541 and 6.541 Å, with angles of 90.00, 90.00 and 90.00 degrees. The distinct sites, in fractional coordinates, are Hf at (0.250, 0.250, 0.250), Br at (0.000, 0.000, 0.000) and F at (0.000, 0.000, 0.500).

(2)
Entry from the Alexandria database: crystalline ThNp5S6 at its relaxed geometry (PBE).

Its formation energy from raw total energies is -1442 meV/atom.

The space group is C2/m (No. 12) and the conventional cell measures 6.771, 11.727 and 6.843 Å, with angles of 90.00, 109.25 and 90.00 degrees. The distinct sites, in fractional coordinates, are Th at (0.000, 0.000, 0.000), Np at (0.000, 0.164, 0.500), Np at (0.000, 0.333, 0.000), Np at (0.000, 0.500, 0.500), S at (0.244, 0.330, 0.744) and S at (0.244, 0.500, 0.253).

(3)
Entry from the Alexandria database: crystalline MgZn2Fe2 at its relaxed geometry (PBE).

The calculation puts the polymorph energy (0 for the lowest one) at 93 meV per atom. The value obtained for the formation energy is 209 meV/atom.

The space group is I4/mmm (No. 139) and the conventional cell measures 3.588, 3.588 and 11.938 Å, with angles of 90.00, 90.00 and 90.00 degrees. The distinct sites, in fractional coordinates, are Mg at (0.000, 0.000, 0.000), Zn at (0.000, 0.000, 0.397) and Fe at (0.000, 0.500, 0.250).

- Which formula does entry 3 have?
  MgZn2Fe2